[1]
A plane-wave DFT calculation with PBE was carried out for a relaxed Tm2NiRh crystal.

```
Tm2NiRh
1.0
3.350 0.000 0.000
0.000 3.350 0.000
0.000 0.000 6.735
Tm Ni Rh
2 1 1
direct
0.000 0.000 0.249
0.000 0.000 0.751
0.500 0.500 0.000
0.500 0.500 0.500
```

[2]
Ba2CaFe, optimized geometry, DFT PBE; distance to the lowest polymorph of the same formula = 417 meV/atom
1.0
0.000 4.101 4.101
4.101 0.000 4.101
4.101 4.101 0.000
Ba Ca Fe
2 1 1
direct
0.250 0.250 0.250
0.750 0.750 0.750
0.000 0.000 0.000
0.500 0.500 0.500

| no. | electronic total energy (eV/atom) | formation enthalpy at 0 K (eV per atom) |
| --- | --- | --- |
| 1 | -6.22 | -0.7053 |
| 2 | -2.74 | 0.8404 |